This record from the Alexandria database describes a PBEsol-optimized structure of AlIn3Co. The functional is SCAN.

## Properties
- symmetry = No. 221
- Fermi-level density of states (states/eV per atom) = 0.434
- density (g/cm³) = 6.23
- crystal system = cubic
- E (eV per cell) = -123.708

Cell and atoms, written as POSCAR:
```
AlIn3Co
1.0
-0.8903 -4.5746 1.3756
3.6917 -1.5470 -2.7551
3.0317 0.5403 3.7589
Co Al In
1 1 3
direct
0.0000 0.0000 0.0000
0.5000 0.5000 0.5000
0.0000 0.0000 0.5000
0.5000 0.0000 0.0000
0.0000 0.5000 0.0000
```